Record 1
A plane-wave DFT calculation with GGA-PBE was carried out for an optimized crystal structure of ZrNiW.

a b c (Å): 4.571 4.571 2.746
angles (deg): 90.00 90.00 120.00
Element x y z (fractional)
Ni1 0.000 0.000 0.166
W1 0.667 0.333 0.167
Zr1 0.333 0.667 0.667

Values from the calculation:
* ΔE to the lowest computed polymorph: 0.308 eV/atom
* magnetic moment: 0.0 μB per cell
* space group: No. 187

Record 2
A plane-wave DFT calculation with GGA-PBE was carried out for an optimized crystal structure of ZrNi2W.

a b c (Å): 4.390 4.390 4.390
angles (deg): 60.00 60.00 60.00
Element x y z (fractional)
Ni1 0.250 0.250 0.250
Ni2 0.750 0.750 0.750
Zr1 0.000 0.000 0.000
W1 0.500 0.500 0.500

Values from the calculation:
* ΔE to the lowest computed polymorph: 0.115 eV/atom
* magnetic moment: 0.0 μB per cell
* space group: No. 225

Record 3
A plane-wave DFT calculation with GGA-PBE was carried out for an optimized crystal structure of ZrNi2W.

a b c (Å): 9.107 9.107 9.107
angles (deg): 17.68 17.68 17.68
Element x y z (fractional)
Ni1 0.992 0.992 0.992
Ni2 0.253 0.253 0.253
W1 0.511 0.511 0.511
Zr1 0.744 0.744 0.744

Values from the calculation:
* ΔE to the lowest computed polymorph: 0.338 eV/atom
* magnetic moment: 0.0 μB per cell
* space group: No. 160

Record 4
A plane-wave DFT calculation with GGA-PBE was carried out for an optimized crystal structure of ZrNi2W.

a b c (Å): 2.789 2.789 7.576
angles (deg): 90.00 90.00 89.90
Element x y z (fractional)
Ni1 0.000 0.000 0.019
Ni2 0.000 0.000 0.481
W1 0.500 0.500 0.250
Zr1 0.500 0.500 0.750

Values from the calculation:
* ΔE to the lowest computed polymorph: 0.021 eV/atom
* magnetic moment: 0.0 μB per cell
* space group: No. 123

Record 5
A plane-wave DFT calculation with GGA-PBE was carried out for an optimized crystal structure of Y2Ni3.

a b c (Å): 5.204 5.204 7.949
angles (deg): 80.34 80.34 119.16
Element x y z (fractional)
Ni1 0.700 0.850 0.748
Ni2 0.598 0.448 0.252
Ni3 0.198 0.848 0.752
Ni4 0.600 0.950 0.248
Ni5 0.911 0.911 0.000
Ni6 0.661 0.161 0.500
Y1 0.614 0.274 0.903
Y2 0.177 0.517 0.097
Y3 0.267 0.427 0.597
Y4 0.024 0.864 0.403

Values from the calculation:
* magnetic moment: 0.0 μB per cell
* space group: No. 43

Record 6
A plane-wave DFT calculation with GGA-PBE was carried out for an optimized crystal structure of Y3Ni4.

a b c (Å): 7.635 7.635 7.635
angles (deg): 114.59 114.59 114.59
Element x y z (fractional)
Ni1 0.500 0.500 0.500
Ni2 0.000 0.000 0.000
Ni3 0.946 0.287 0.451
Ni4 0.451 0.946 0.287
Ni5 0.287 0.451 0.946
Ni6 0.054 0.713 0.549
Ni7 0.549 0.054 0.713
Ni8 0.713 0.549 0.054
Y1 0.094 0.469 0.217
Y2 0.217 0.094 0.469
Y3 0.469 0.217 0.094
Y4 0.906 0.531 0.783
Y5 0.783 0.906 0.531
Y6 0.531 0.783 0.906

Values from the calculation:
* ΔE to the lowest computed polymorph: 0.067 eV/atom
* magnetic moment: 0.0 μB per cell
* space group: No. 148

Record 7
A plane-wave DFT calculation with GGA-PBE was carried out for an optimized crystal structure of YNi.

a b c (Å): 5.487 5.487 5.487
angles (deg): 90.00 90.00 90.00
Element x y z (fractional)
Y1 0.059 0.059 0.059
Y2 0.441 0.941 0.559
Y3 0.941 0.559 0.441
Y4 0.559 0.441 0.941
Ni1 0.435 0.435 0.435
Ni2 0.065 0.565 0.935
Ni3 0.565 0.935 0.065
Ni4 0.935 0.065 0.565

Values from the calculation:
* magnetic moment: 0.0 μB per cell
* space group: No. 198

Record 8
A plane-wave DFT calculation with GGA-PBE was carried out for an optimized crystal structure of Y2Ni3.

a b c (Å): 7.244 7.244 7.244
angles (deg): 32.08 32.08 32.08
Last column: magnetic moment on the atom in μB.
Element x y z (fractional)
Y1 0.590 0.590 0.590  -0.01
Y2 0.410 0.410 0.410  -0.01
Ni1 0.000 0.000 0.000  -0.01
Ni2 0.836 0.836 0.836  0.28
Ni3 0.164 0.164 0.164  0.28

Values from the calculation:
* magnetic moment: 0.5 μB per cell
* space group: No. 166

Record 9
A plane-wave DFT calculation with GGA-PBE was carried out for an optimized crystal structure of YNi.

a b c (Å): 7.015 8.776 10.830
angles (deg): 90.00 90.00 90.00
Element x y z (fractional)
Y1 0.000 0.792 0.000
Y2 0.000 0.208 0.000
Y3 0.250 0.958 0.250
Y4 0.250 0.542 0.250
Y5 0.000 0.292 0.500
Y6 0.000 0.708 0.500
Y7 0.250 0.458 0.750
Y8 0.250 0.042 0.750
Y9 0.500 0.792 0.500
Y10 0.500 0.208 0.500
Y11 0.750 0.958 0.750
Y12 0.750 0.542 0.750
Y13 0.500 0.292 0.000
Y14 0.500 0.708 0.000
Y15 0.750 0.458 0.250
Y16 0.750 0.042 0.250
Ni1 0.324 0.000 0.000
Ni2 0.676 0.000 0.000
Ni3 0.926 0.750 0.250
Ni4 0.574 0.750 0.250
Ni5 0.324 0.500 0.500
Ni6 0.676 0.500 0.500
Ni7 0.926 0.250 0.750
Ni8 0.574 0.250 0.750
Ni9 0.824 0.000 0.500
Ni10 0.176 0.000 0.500
Ni11 0.426 0.750 0.750
Ni12 0.074 0.750 0.750
Ni13 0.824 0.500 0.000
Ni14 0.176 0.500 0.000
Ni15 0.426 0.250 0.250
Ni16 0.074 0.250 0.250

Values from the calculation:
* magnetic moment: 0.0 μB per cell
* space group: No. 70

Record 10
A plane-wave DFT calculation with GGA-PBE was carried out for an optimized crystal structure of Y15Ni32.

a b c (Å): 10.144 10.144 10.144
angles (deg): 60.00 60.00 60.00
Element x y z (fractional)
Y1 0.500 0.500 0.500
Y2 0.098 0.098 0.705
Y3 0.098 0.705 0.098
Y4 0.705 0.098 0.098
Y5 0.098 0.098 0.098
Y6 0.627 0.627 0.119
Y7 0.627 0.119 0.627
Y8 0.119 0.627 0.627
Y9 0.627 0.627 0.627
Y10 0.013 0.013 0.487
Y11 0.487 0.013 0.487
Y12 0.013 0.487 0.487
Y13 0.487 0.487 0.013
Y14 0.013 0.487 0.013
Y15 0.487 0.013 0.013
Ni1 0.312 0.312 0.065
Ni2 0.312 0.065 0.312
Ni3 0.065 0.312 0.312
Ni4 0.312 0.312 0.312
Ni5 0.812 0.812 0.565
Ni6 0.812 0.565 0.812
Ni7 0.565 0.812 0.812
Ni8 0.812 0.812 0.812
Ni9 0.807 0.327 0.059
Ni10 0.807 0.807 0.059
Ni11 0.327 0.807 0.059
Ni12 0.807 0.059 0.327
Ni13 0.327 0.059 0.807
Ni14 0.807 0.059 0.807
Ni15 0.059 0.807 0.807
Ni16 0.059 0.327 0.807
Ni17 0.059 0.807 0.327
Ni18 0.327 0.807 0.807
Ni19 0.807 0.807 0.327
Ni20 0.807 0.327 0.807
Ni21 0.312 0.812 0.563
Ni22 0.312 0.312 0.563
Ni23 0.812 0.312 0.563
Ni24 0.312 0.563 0.812
Ni25 0.812 0.563 0.312
Ni26 0.312 0.563 0.312
Ni27 0.563 0.312 0.312
Ni28 0.563 0.812 0.312
Ni29 0.563 0.312 0.812
Ni30 0.812 0.312 0.312
Ni31 0.312 0.312 0.812
Ni32 0.312 0.812 0.312

Values from the calculation:
* magnetic moment: 0.0 μB per cell
* space group: No. 216

Record 11
A plane-wave DFT calculation with GGA-PBE was carried out for an optimized crystal structure of YNi.

a b c (Å): 6.568 6.568 6.568
angles (deg): 144.64 131.29 61.62
Element x y z (fractional)
Y1 0.999 0.286 0.713
Y2 0.459 0.000 0.459
Y3 0.427 0.714 0.713
Ni1 0.960 0.000 0.960
Ni2 0.853 0.607 0.245
Ni3 0.638 0.393 0.245

Values from the calculation:
* magnetic moment: 0.0 μB per cell
* space group: No. 44

Record 12
A plane-wave DFT calculation with GGA-PBE was carried out for an optimized crystal structure of YNi.

a b c (Å): 5.481 4.155 7.138
angles (deg): 90.00 90.00 90.00
Element x y z (fractional)
Ni1 0.123 0.250 0.536
Ni2 0.623 0.750 0.964
Ni3 0.877 0.750 0.464
Ni4 0.377 0.250 0.036
Y1 0.867 0.250 0.180
Y2 0.367 0.750 0.320
Y3 0.133 0.750 0.820
Y4 0.633 0.250 0.680

Values from the calculation:
* magnetic moment: 0.0 μB per cell
* space group: No. 62

Record 13
A plane-wave DFT calculation with GGA-PBE was carried out for an optimized crystal structure of Y7Ni3.

a b c (Å): 6.217 9.703 9.703
angles (deg): 120.00 90.00 90.00
Last column: magnetic moment on the atom in μB.
Element x y z (fractional)
Y1 0.139 0.667 0.333  0.19
Y2 0.639 0.333 0.667  0.19
Y3 0.941 0.874 0.748  0.08
Y4 0.941 0.874 0.126  0.08
Y5 0.941 0.252 0.126  0.08
Y6 0.441 0.126 0.252  0.08
Y7 0.441 0.126 0.874  0.08
Y8 0.441 0.748 0.874  0.08
Y9 0.119 0.459 0.918  0.12
Y10 0.119 0.459 0.541  0.12
Y11 0.119 0.082 0.541  0.12
Y12 0.619 0.541 0.082  0.12
Y13 0.619 0.541 0.459  0.12
Y14 0.619 0.918 0.459  0.12
Ni1 0.863 0.190 0.379  0.03
Ni2 0.863 0.190 0.810  0.03
Ni3 0.863 0.621 0.810  0.03
Ni4 0.363 0.810 0.621  0.03
Ni5 0.363 0.810 0.190  0.03
Ni6 0.363 0.379 0.190  0.03

Values from the calculation:
* magnetic moment: 3.4 μB per cell
* space group: No. 186

Record 14
A plane-wave DFT calculation with GGA-PBE was carried out for an optimized crystal structure of Y4Ni.

a b c (Å): 5.334 5.334 5.334
angles (deg): 90.00 90.00 90.00
Element x y z (fractional)
Y1 0.000 0.000 0.000
Y2 0.500 0.000 0.500
Y3 0.000 0.500 0.500
Y4 0.500 0.500 0.000
Ni1 0.500 0.500 0.500

Values from the calculation:
* ΔE to the lowest computed polymorph: 0.000 eV/atom
* magnetic moment: 0.0 μB per cell
* space group: No. 221

Record 15
A plane-wave DFT calculation with GGA-PBE was carried out for an optimized crystal structure of Y3Ni5.

a b c (Å): 5.519 5.519 4.700
angles (deg): 90.00 90.00 105.83
Element x y z (fractional)
Y1 0.500 0.500 0.000
Y2 0.797 0.203 0.500
Y3 0.203 0.797 0.500
Ni1 0.000 0.000 0.000
Ni2 0.500 0.000 0.000
Ni3 0.000 0.500 0.000
Ni4 0.697 0.697 0.500
Ni5 0.303 0.303 0.500

Values from the calculation:
* ΔE to the lowest computed polymorph: 0.000 eV/atom
* magnetic moment: 0.0 μB per cell
* space group: No. 65

Record 16
A plane-wave DFT calculation with GGA-PBE was carried out for an optimized crystal structure of Y4Ni.

a b c (Å): 5.774 5.774 5.774
angles (deg): 109.47 109.47 109.47
Element x y z (fractional)
Y1 0.500 0.000 0.000
Y2 0.500 0.500 0.500
Y3 0.000 0.500 0.000
Y4 0.000 0.000 0.500
Ni1 0.000 0.000 0.000

Values from the calculation:
* ΔE to the lowest computed polymorph: 0.290 eV/atom
* magnetic moment: 0.0 μB per cell
* space group: No. 229

Record 17
A plane-wave DFT calculation with GGA-PBE was carried out for an optimized crystal structure of Y4Ni.

a b c (Å): 9.669 9.669 9.669
angles (deg): 156.08 156.08 34.08
Element x y z (fractional)
Y1 0.250 0.750 0.500
Y2 0.582 0.582 0.000
Y3 0.418 0.418 0.000
Y4 0.750 0.250 0.500
Ni1 0.000 0.000 0.000

Values from the calculation:
* ΔE to the lowest computed polymorph: 0.600 eV/atom
* magnetic moment: 0.0 μB per cell
* space group: No. 139

Record 18
A plane-wave DFT calculation with GGA-PBE was carried out for an optimized crystal structure of Y3Ni5.

a b c (Å): 8.639 8.639 4.512
angles (deg): 90.00 90.00 59.98
Element x y z (fractional)
Y1 0.640 0.000 0.250
Y2 0.360 0.000 0.750
Y3 0.360 0.640 0.250
Y4 0.000 0.360 0.250
Y5 0.000 0.640 0.750
Y6 0.640 0.360 0.750
Ni1 0.667 0.667 0.000
Ni2 0.333 0.333 0.500
Ni3 0.333 0.333 0.000
Ni4 0.667 0.667 0.500
Ni5 0.161 0.000 0.250
Ni6 0.839 0.000 0.750
Ni7 0.839 0.161 0.250
Ni8 0.000 0.839 0.250
Ni9 0.000 0.161 0.750
Ni10 0.161 0.839 0.750

Values from the calculation:
* ΔE to the lowest computed polymorph: 0.030 eV/atom
* magnetic moment: 0.0 μB per cell
* space group: No. 193

Record 19
A plane-wave DFT calculation with GGA-PBE was carried out for an optimized crystal structure of Y2Ni7.

a b c (Å): 12.407 12.407 12.407
angles (deg): 23.01 23.01 23.01
Last column: magnetic moment on the atom in μB.
Element x y z (fractional)
Y1 0.950 0.950 0.950  -0.04
Y2 0.147 0.147 0.147  -0.03
Y3 0.050 0.050 0.050  -0.04
Y4 0.853 0.853 0.853  -0.03
Ni1 0.722 0.722 0.722  0.21
Ni2 0.388 0.388 0.388  0.23
Ni3 0.390 0.891 0.390  0.14
Ni4 0.612 0.612 0.612  0.23
Ni5 0.000 0.500 0.500  0.30
Ni6 0.610 0.610 0.109  0.14
Ni7 0.500 0.500 0.500  0.08
Ni8 0.390 0.390 0.891  0.14
Ni9 0.278 0.278 0.278  0.21
Ni10 0.610 0.109 0.610  0.14
Ni11 0.891 0.390 0.390  0.14
Ni12 0.500 0.000 0.500  0.30
Ni13 0.500 0.500 0.000  0.30
Ni14 0.109 0.610 0.610  0.14

Values from the calculation:
* ΔE to the lowest computed polymorph: 0.000 eV/atom
* magnetic moment: 2.3 μB per cell
* space group: No. 166

Record 20
A plane-wave DFT calculation with GGA-PBE was carried out for an optimized crystal structure of YNi.

a b c (Å): 7.961 7.961 7.961
angles (deg): 90.00 90.00 90.00
Element x y z (fractional)
Y1 0.296 0.296 0.296
Y2 0.296 0.704 0.704
Y3 0.704 0.296 0.704
Y4 0.704 0.704 0.296
Y5 0.796 0.796 0.796
Y6 0.796 0.204 0.204
Y7 0.204 0.796 0.204
Y8 0.204 0.204 0.796
Ni1 0.108 0.108 0.108
Ni2 0.108 0.892 0.892
Ni3 0.892 0.108 0.892
Ni4 0.892 0.892 0.108
Ni5 0.608 0.608 0.608
Ni6 0.608 0.392 0.392
Ni7 0.392 0.608 0.392
Ni8 0.392 0.392 0.608

Values from the calculation:
* magnetic moment: 0.0 μB per cell
* space group: No. 217

Number 1: ΔE_f 0.76 eV per formula unit. Number 2: ΔE_f 0.20 eV per formula unit. Number 3: ΔE_f 1.09 eV per formula unit. Number 4: ΔE_f -0.18 eV per formula unit. Number 5: ΔE_f -1.99 eV per formula unit. Number 6: ΔE_f -2.47 eV per formula unit. Number 7: ΔE_f -0.43 eV per formula unit. Number 8: ΔE_f -1.63 eV per formula unit. Number 9: ΔE_f -0.51 eV per formula unit. Number 10: ΔE_f -19.80 eV per formula unit. Number 11: ΔE_f -0.54 eV per formula unit. Number 12: ΔE_f -0.87 eV per formula unit. Number 13: ΔE_f -2.54 eV per formula unit. Number 14: ΔE_f -0.20 eV per formula unit. Number 15: ΔE_f -1.89 eV per formula unit. Number 16: ΔE_f 1.25 eV per formula unit. Number 17: ΔE_f 2.81 eV per formula unit. Number 18: ΔE_f -1.65 eV per formula unit. Number 19: ΔE_f -3.43 eV per formula unit. Number 20: ΔE_f 0.61 eV per formula unit.